## Ca3MgH6 (PBE)

Data for Ca3MgH6 after structural relaxation.

Results
space-group type = Cmc2_1 (36)
raw total energy = -0.2318 Ry per atom
M_tot = 0.4 μB/f.u.

a b c (Å): 5.627 7.045 7.045
angles (deg): 103.78 90.00 90.00
Atoms (fractional coordinates):
Mg  0.984  0.184  0.816
Ca  0.972  0.092  0.306
H  0.700  0.895  0.417
H  0.200  0.105  0.583
H  0.199  0.671  0.645
H  0.700  0.583  0.105
H  0.701  0.971  0.029
H  0.199  0.355  0.329
Ca  0.928  0.606  0.394
Ca  0.472  0.306  0.092
Mg  0.484  0.816  0.184
Ca  0.972  0.694  0.908
H  0.201  0.029  0.971
Ca  0.472  0.908  0.694
Ca  0.428  0.394  0.606
H  0.699  0.645  0.671
H  0.128  0.786  0.214
H  0.200  0.417  0.895
H  0.699  0.329  0.355
H  0.628  0.214  0.786